Record 1
Computed, not measured: crystalline CsDyP2Pt4 at its relaxed geometry at the PBE-GGA level of DFT.

abc: 4.046 4.046 11.366
angles: 90.00 90.00 90.00
Space group P4/mmm (No. 123)
Unique sites:
Cs1 0.000 0.000 0.000
Dy1 0.000 0.000 0.500
P1 0.500 0.500 0.207
Pt1 0.000 0.500 0.312

Crystal system = tetragonal



Record 2
Computed, not measured: crystalline YCdRh at its relaxed geometry at the PBE-GGA level of DFT.

abc: 8.059 4.761 7.683
angles: 90.00 111.77 90.00
Space group Cm (No. 8)
Unique sites:
Y1 0.000 0.000 0.000
Y2 0.221 0.000 0.677
Cd1 0.255 0.500 0.254
Cd2 0.480 0.000 0.448
Rh1 0.110 0.500 0.836
Rh2 0.361 0.000 0.070

Crystal system = monoclinic



Record 3
Computed, not measured: crystalline Li2DyAsSe4 at its relaxed geometry at the PBE-GGA level of DFT.

abc: 6.843 3.978 6.906
angles: 90.00 109.49 90.00
Space group P2/m (No. 10)
Unique sites:
Li1 0.000 0.000 0.000
Li2 0.000 0.500 0.500
Dy1 0.500 0.000 0.500
As1 0.500 0.500 0.000
Se1 0.249 0.500 0.238
Se2 0.255 0.000 0.764

Crystal system = monoclinic
Formation energy without anion corrections = -1095 meV per atom



Record 4
Computed, not measured: crystalline Dy2HfH at its relaxed geometry at the PBE-GGA level of DFT.

abc: 3.3084 3.3084 27.2711
angles: 90.00 90.00 120.00
Space group R-3m (No. 166, hexagonal axes)
Unique sites:
Dy1 0.0000 0.0000 0.1158
Hf1 0.0000 0.0000 0.0000
H1 0.0000 0.0000 0.5000

Crystal system = trigonal
Distance to the lowest polymorph of the same formula = 47.2 meV per atom



Record 5
Computed, not measured: crystalline Ag2HO at its relaxed geometry at the PBE-GGA level of DFT.

abc: 4.825 4.825 9.221
angles: 90.00 90.00 90.00
Space group I-42d (No. 122)
Unique sites:
Ag1 0.194 0.250 0.125
H1 0.000 0.000 0.000
O1 0.000 0.000 0.500

Crystal system = tetragonal
Distance to the lowest polymorph of the same formula = 555.0 meV per atom



Record 6
Computed, not measured: crystalline NdBePd6 at its relaxed geometry at the PBE-GGA level of DFT.

abc: 8.9169 8.9169 5.9055
angles: 90.00 90.00 120.00
Space group R-3m (No. 166, hexagonal axes)
Unique sites:
Nd1 0.0000 0.0000 0.0000
Be1 0.0000 0.0000 0.5000
Pd1 0.0415 0.5207 0.2805

Crystal system = trigonal



Record 7
Computed, not measured: crystalline Pa2CO at its relaxed geometry at the PBE-GGA level of DFT.

abc: 3.5587 3.5587 17.1079
angles: 90.00 90.00 120.00
Space group R-3m (No. 166, hexagonal axes)
Unique sites:
Pa1 0.0000 0.0000 0.2494
C1 0.0000 0.0000 0.5000
O1 0.0000 0.0000 0.0000

Crystal system = trigonal
Formation energy without anion corrections = -1636 meV per atom
Distance to the lowest polymorph of the same formula = 0.0 meV per atom



Record 8
Computed, not measured: crystalline Tb2DyYSe4 at its relaxed geometry at the PBE-GGA level of DFT.

abc: 7.103 4.042 7.114
angles: 90.00 108.90 90.00
Space group P2/m (No. 10)
Unique sites:
Tb1 0.000 0.000 0.000
Tb2 0.000 0.500 0.500
Dy1 0.500 0.000 0.500
Y1 0.500 0.500 0.000
Se1 0.251 0.000 0.750
Se2 0.252 0.500 0.251

Crystal system = monoclinic
Formation energy without anion corrections = -1763 meV per atom



Record 9
Computed, not measured: crystalline Ce2SmZn2Si2 at its relaxed geometry at the PBE-GGA level of DFT.

abc: 4.2399 4.2399 27.8424
angles: 90.00 90.00 120.00
Space group R-3m (No. 166, hexagonal axes)
Unique sites:
Ce1 0.0000 0.0000 0.1412
Sm1 0.0000 0.0000 0.0000
Zn1 0.0000 0.0000 0.4042
Si1 0.0000 0.0000 0.2621

Crystal system = trigonal
Formation energy without anion corrections = -422 meV per atom



Record 10
Computed, not measured: crystalline KAl4Pb at its relaxed geometry at the PBE-GGA level of DFT.

abc: 8.243 8.243 8.243
angles: 90.00 90.00 90.00
Space group F-43m (No. 216)
Unique sites:
K1 0.000 0.000 0.000
Al1 0.125 0.125 0.375
Pb1 0.250 0.250 0.750

Crystal system = cubic



Record 11
Computed, not measured: crystalline MgMoBr2 at its relaxed geometry at the PBE-GGA level of DFT.

abc: 3.3134 3.3134 29.8786
angles: 90.00 90.00 120.00
Space group R-3m (No. 166, hexagonal axes)
Unique sites:
Mg1 0.0000 0.0000 0.0000
Mo1 0.0000 0.0000 0.5000
Br1 0.0000 0.0000 0.1059

Crystal system = trigonal
Formation energy without anion corrections = 74 meV per atom
Distance to the lowest polymorph of the same formula = 297.9 meV per atom



Record 12
Computed, not measured: crystalline Sr2MgAl12Pd3 at its relaxed geometry at the PBE-GGA level of DFT.

abc: 8.5250 8.5250 22.2434
angles: 90.00 90.00 120.00
Space group R-3m (No. 166, hexagonal axes)
Unique sites:
Sr1 0.0000 0.0000 0.1000
Mg1 0.0000 0.0000 0.5000
Al1 0.0233 0.5117 0.3487
Al2 0.0972 0.5486 0.8906
Pd1 0.0000 0.5000 0.0000

Crystal system = trigonal



Number 1: uncorrected energy -46.48 eV per formula unit, total magnetic moment 0.0 μB per cell. Number 2: uncorrected energy -16.22 eV per formula unit, total magnetic moment 0.0 μB per cell. Number 3: uncorrected energy -35.78 eV per formula unit, total magnetic moment 0.0 μB per cell. Number 4: uncorrected energy -21.85 eV per formula unit, total magnetic moment 0.0 μB per cell. Number 5: uncorrected energy -13.27 eV per formula unit, total magnetic moment 2.5 μB per cell. Number 6: uncorrected energy -42.19 eV per formula unit, total magnetic moment 0.0 μB per cell. Number 7: uncorrected energy -39.72 eV per formula unit, total magnetic moment 0.0 μB per cell. Number 8: uncorrected energy -48.37 eV per formula unit, total magnetic moment 0.0 μB per cell. Number 9: uncorrected energy -32.93 eV per formula unit, total magnetic moment 5.4 μB per cell. Number 10: uncorrected energy -18.63 eV per formula unit, total magnetic moment 0.0 μB per cell. Number 11: uncorrected energy -15.48 eV per formula unit, total magnetic moment 0.0 μB per cell. Number 12: uncorrected energy -63.92 eV per formula unit, total magnetic moment 0.0 μB per cell.